VASP calculation (GGA+U) on a geometry-optimized Na3Ni3IrO8 structure.

The space group is C2/m (No. 12) and the conventional cell measures 10.564, 6.103 and 6.452 Å, with angles of 90.00, 123.12 and 90.00 degrees. The distinct sites, in fractional coordinates, are Na at (0.000, 0.000, 0.000), Na at (0.250, 0.250, 0.000), Ni at (0.000, 0.500, 0.500), Ni at (0.250, 0.250, 0.500), Ir at (0.000, 0.000, 0.500), O at (0.012, 0.233, 0.303), O at (0.221, 0.000, 0.697) and O at (0.226, 0.500, 0.681).

As for the density: 5.39 g/cm3. The value obtained for the density of states at the Fermi level is 7.09 states/eV/f.u. For the total DFT energy (no corrections), the calculation gives -77.0 eV per formula unit.